No. 1
12
Lattice="4.8365 -7.0605 0.0000 4.8365 7.0605 0.0000 -2.2026 0.0000 4.1352" Properties=species:S:1:pos:R:3 comment="LiMg5Sn6 (GGA-PBE, relaxed)" dos_ef_per_ev_fu=3.67 e_tot_ev_per_atom=-2.986 e_above_lowest_polymorph_mev_per_atom=0 m_tot_mub_per_fu=0.000 sg="C2/m (12)" e_form_mev_per_atom=-161 pbc="T T T"
Li 0.0000 0.0000 0.0000
Mg 3.7352 4.7073 2.0676
Mg 4.8365 2.3398 0.0000
Mg 3.7352 0.0000 2.0676
Mg 4.8365 -2.3398 0.0000
Mg 3.7352 -4.7073 2.0676
Sn 1.8538 2.3262 1.0187
Sn 0.7261 0.0000 3.0931
Sn 1.8538 -2.3262 1.0187
Sn 5.6166 2.3262 3.1165
Sn 6.7444 0.0000 1.0421
Sn 5.6166 -2.3262 3.1165

No. 2
4
Lattice="1.3878 0.8012 9.0025 -1.3878 0.8012 9.0025 0.0000 -1.6025 9.0025" Properties=species:S:1:pos:R:3 comment="AlAgOs2 (GGA-PBE, relaxed)" dos_ef_per_ev_fu=2.43 e_tot_ev_per_atom=-7.081 m_tot_mub_per_fu=0.000 sg="R-3m (166)" e_form_mev_per_atom=182 pbc="T T T"
Al 0.0000 0.0000 0.0000
Ag 0.0000 0.0000 13.5037
Os 0.0000 0.0000 6.9501
Os 0.0000 0.0000 20.0573

No. 3
8
Lattice="6.3212 0.0000 0.0000 0.0000 3.6983 0.0000 -2.1073 0.0000 6.1030" Properties=species:S:1:pos:R:3 comment="Li2TmCrS4 (GGA-PBE, relaxed)" e_tot_ev_per_atom=-5.681 e_form_raw_ev_per_fu=-11.0 m_tot_mub_per_fu=2.998 sg="P2/m (10)" pbc="T T T"
Li 0.0000 0.0000 0.0000
Li 3.1606 1.8491 0.0000
Tm -1.0537 1.8491 3.0515
Cr 2.1069 0.0000 3.0515
S 0.1246 0.0000 4.5465
S 1.2089 1.8491 1.6501
S 3.0049 1.8491 4.4529
S 4.0892 0.0000 1.5565

No. 4
4
Lattice="2.9690 0.0000 0.0000 0.0000 4.1383 0.0000 0.0000 0.0000 4.5055" Properties=species:S:1:pos:R:3 comment="Li2AlIr (GGA-PBE, relaxed)" dos_ef_per_ev_fu=1.98 e_tot_ev_per_atom=-4.537 m_tot_mub_per_fu=0.000 sg="Pmmm (47)" e_form_mev_per_atom=-429 pbc="T T T"
Li 0.0000 0.0000 0.0000
Li 1.4845 2.0692 0.0000
Al 0.0000 2.0692 2.2528
Ir 1.4845 0.0000 2.2528

No. 5
4
Lattice="0.0000 4.1369 4.1369 4.1369 0.0000 4.1369 4.1369 4.1369 0.0000" Properties=species:S:1:pos:R:3 comment="NaAcPmLu (GGA-PBE, relaxed)" dos_ef_per_ev_fu=4.74 e_tot_ev_per_atom=-3.432 m_tot_mub_per_fu=0.000 sg="F-43m (216)" e_form_mev_per_atom=243 pbc="T T T"
Na 0.0000 0.0000 0.0000
Ac 2.0684 2.0684 2.0684
Pm 6.2053 6.2053 6.2053
Lu 4.1369 4.1369 4.1369

No. 6
3
Lattice="0.0000 2.8168 5.9499 1.5064 0.0000 5.9499 1.5064 2.8168 0.0000" Properties=species:S:1:pos:R:3 comment="ZnCoCl (GGA-PBE, relaxed)" dos_ef_per_ev_fu=3.02 e_tot_ev_per_atom=-3.222 e_above_lowest_polymorph_mev_per_atom=162 e_form_raw_ev_per_fu=0.6 m_tot_mub_per_fu=1.640 sg="Fmm2 (42)" pbc="T T T"
Zn 0.0000 0.0000 0.0000
Co 1.5064 2.8168 4.0492
Cl 1.5064 2.8168 8.2507